## NaBC (GGA-PBE)

Data for a relaxed structure of NaBC.

a b c (Å): 7.464 7.464 7.464
angles (deg): 157.88 50.45 135.27
Atoms (fractional coordinates):
Na: 0.000 0.000 0.000
Na: 0.280 0.566 0.715
Na: 0.851 0.566 0.285
B: 0.356 0.955 0.401
B: 0.509 0.509 0.000
B: 0.553 0.955 0.599
C: 0.236 0.356 0.879
C: 0.477 0.356 0.121
C: 0.636 0.136 0.500

## Properties
V (Å³/cell): 109.8
N(E_F) (states/eV/f.u.): 0.00
Total moment (μB per atom): 0.000
Calculated formation energy (kJ/mol of atoms): 32

***

## Na3B5C (GGA-PBE)

Data for a relaxed structure of Na3B5C.

a b c (Å): 5.173 5.173 9.155
angles (deg): 106.54 106.54 58.74
Atoms (fractional coordinates):
Na: 0.000 0.500 0.000
Na: 0.167 0.668 0.502
Na: 0.332 0.833 0.998
Na: 0.500 0.000 0.500
Na: 0.668 0.167 0.002
Na: 0.833 0.332 0.498
B: 0.087 0.913 0.250
B: 0.103 0.236 0.250
B: 0.236 0.103 0.750
B: 0.284 0.401 0.750
B: 0.401 0.284 0.250
B: 0.599 0.716 0.750
B: 0.716 0.599 0.250
B: 0.764 0.897 0.250
B: 0.897 0.764 0.750
B: 0.913 0.087 0.750
C: 0.429 0.571 0.250
C: 0.571 0.429 0.750

## Properties
V (Å³/cell): 198.0
E above lowest polymorph (meV per atom): 40
N(E_F) (states/eV/f.u.): 1.28
Total moment (μB per atom): 0.000
Calculated formation energy (kJ/mol of atoms): 22

***

## Na2B3C (GGA-PBE)

Data for a relaxed structure of Na2B3C.

a b c (Å): 9.061 9.061 10.353
angles (deg): 106.66 106.66 18.14
Atoms (fractional coordinates):
Na: 0.000 0.000 0.000
Na: 0.249 0.249 0.125
Na: 0.251 0.251 0.626
Na: 0.497 0.497 0.748
Na: 0.500 0.500 0.250
Na: 0.748 0.748 0.374
Na: 0.750 0.750 0.875
Na: 0.999 0.999 0.500
B: 0.124 0.124 0.230
B: 0.124 0.124 0.402
B: 0.124 0.124 0.729
B: 0.374 0.374 0.011
B: 0.374 0.374 0.511
B: 0.624 0.624 0.498
B: 0.624 0.624 0.961
B: 0.625 0.625 0.136
B: 0.874 0.874 0.106
B: 0.874 0.874 0.279
B: 0.874 0.874 0.779
B: 0.875 0.875 0.606
C: 0.124 0.124 0.888
C: 0.374 0.374 0.354
C: 0.374 0.374 0.854
C: 0.625 0.625 0.654

## Properties
V (Å³/cell): 253.3
E above lowest polymorph (meV per atom): 25
N(E_F) (states/eV/f.u.): 1.36
Total moment (μB per atom): 0.000
Calculated formation energy (kJ/mol of atoms): 15

***

## NaBC (GGA-PBE)

Data for a relaxed structure of NaBC.

a b c (Å): 3.995 3.995 2.844
angles (deg): 109.50 109.50 82.44
Atoms (fractional coordinates):
Na: 0.000 0.000 0.000
B: 0.500 0.500 0.485
C: 0.500 0.500 0.985

## Properties
V (Å³/cell): 40.3
N(E_F) (states/eV/f.u.): 0.00
Total moment (μB per atom): 0.000
Calculated formation energy (kJ/mol of atoms): 10

***

## Na4B5C3 (GGA-PBE)

Data for a relaxed structure of Na4B5C3.

a b c (Å): 8.984 8.984 10.079
angles (deg): 106.30 106.30 18.11
Atoms (fractional coordinates):
Na: 0.000 0.000 0.000
Na: 0.001 0.001 0.500
Na: 0.252 0.252 0.626
Na: 0.254 0.254 0.127
Na: 0.500 0.500 0.250
Na: 0.501 0.501 0.750
Na: 0.752 0.752 0.875
Na: 0.753 0.753 0.377
B: 0.126 0.126 0.733
B: 0.127 0.127 0.231
B: 0.127 0.127 0.899
B: 0.376 0.376 0.523
B: 0.377 0.377 0.023
B: 0.626 0.626 0.463
B: 0.626 0.626 0.634
B: 0.627 0.627 0.001
B: 0.876 0.876 0.773
B: 0.877 0.877 0.273
C: 0.127 0.127 0.389
C: 0.377 0.377 0.356
C: 0.377 0.377 0.856
C: 0.627 0.627 0.154
C: 0.876 0.876 0.606
C: 0.878 0.878 0.107

## Properties
V (Å³/cell): 242.4
E above lowest polymorph (meV per atom): 25
N(E_F) (states/eV/f.u.): 2.32
Total moment (μB per atom): 0.000
Calculated formation energy (kJ/mol of atoms): 8

***

## Na4B5C3 (GGA-PBE)

Data for a relaxed structure of Na4B5C3.

a b c (Å): 5.003 5.696 8.993
angles (deg): 80.87 73.86 90.00
Atoms (fractional coordinates):
Na: 0.000 0.000 0.000
Na: 0.000 0.500 0.000
Na: 0.251 0.125 0.500
Na: 0.251 0.626 0.498
Na: 0.500 0.250 0.000
Na: 0.500 0.750 0.000
Na: 0.749 0.374 0.502
Na: 0.749 0.875 0.500
B: 0.030 0.676 0.250
B: 0.031 0.199 0.249
B: 0.215 0.938 0.250
B: 0.445 0.062 0.749
B: 0.461 0.563 0.750
B: 0.539 0.437 0.250
B: 0.555 0.938 0.251
B: 0.785 0.062 0.750
B: 0.969 0.801 0.751
B: 0.970 0.324 0.750
C: 0.210 0.438 0.249
C: 0.290 0.317 0.749
C: 0.290 0.808 0.750
C: 0.710 0.192 0.250
C: 0.710 0.683 0.251
C: 0.790 0.562 0.751

## Properties
V (Å³/cell): 242.8
E above lowest polymorph (meV per atom): 36
N(E_F) (states/eV/f.u.): 0.97
Total moment (μB per atom): 0.000
Calculated formation energy (kJ/mol of atoms): 9

***

## Na5B6C4 (GGA-PBE)

Data for a relaxed structure of Na5B6C4.

a b c (Å): 8.955 8.955 13.107
angles (deg): 113.59 113.59 18.21
Atoms (fractional coordinates):
Na: 0.000 0.000 0.000
Na: 0.000 0.000 0.500
Na: 0.200 0.200 0.900
Na: 0.201 0.201 0.399
Na: 0.399 0.399 0.301
Na: 0.400 0.400 0.802
Na: 0.600 0.600 0.198
Na: 0.601 0.601 0.699
Na: 0.799 0.799 0.601
Na: 0.800 0.800 0.100
B: 0.034 0.034 0.817
B: 0.161 0.161 0.572
B: 0.227 0.227 0.204
B: 0.233 0.233 0.715
B: 0.370 0.370 0.989
B: 0.437 0.437 0.623
B: 0.563 0.563 0.377
B: 0.630 0.630 0.011
B: 0.767 0.767 0.285
B: 0.773 0.773 0.796
B: 0.839 0.839 0.428
B: 0.966 0.966 0.183
C: 0.031 0.031 0.314
C: 0.163 0.163 0.076
C: 0.371 0.371 0.491
C: 0.435 0.435 0.119
C: 0.565 0.565 0.881
C: 0.629 0.629 0.509
C: 0.837 0.837 0.924
C: 0.969 0.969 0.686

## Properties
V (Å³/cell): 300.2
E above lowest polymorph (meV per atom): 4
N(E_F) (states/eV/f.u.): 2.01
Total moment (μB per atom): 0.000
Calculated formation energy (kJ/mol of atoms): 5

***

## Na5B8C2 (GGA-PBE)

Data for a relaxed structure of Na5B8C2.

a b c (Å): 5.049 7.763 9.103
angles (deg): 76.15 74.17 72.42
Atoms (fractional coordinates):
Na: 0.000 0.000 0.000
Na: 0.000 0.500 0.500
Na: 0.198 0.101 0.498
Na: 0.202 0.601 0.999
Na: 0.396 0.201 0.003
Na: 0.402 0.699 0.502
Na: 0.598 0.301 0.498
Na: 0.604 0.799 0.997
Na: 0.798 0.399 0.001
Na: 0.802 0.899 0.502
B: 0.020 0.356 0.250
B: 0.025 0.858 0.751
B: 0.168 0.738 0.250
B: 0.241 0.950 0.249
B: 0.250 0.439 0.750
B: 0.365 0.363 0.250
B: 0.376 0.843 0.750
B: 0.404 0.070 0.750
B: 0.596 0.930 0.250
B: 0.624 0.157 0.250
B: 0.635 0.637 0.750
B: 0.750 0.561 0.250
B: 0.759 0.050 0.751
B: 0.832 0.262 0.750
B: 0.975 0.142 0.249
B: 0.980 0.644 0.750
C: 0.159 0.254 0.749
C: 0.430 0.555 0.251
C: 0.570 0.445 0.749
C: 0.841 0.746 0.251

## Properties
V (Å³/cell): 322.5
E above lowest polymorph (meV per atom): 28
N(E_F) (states/eV/f.u.): 3.45
Total moment (μB per atom): 0.000
Calculated formation energy (kJ/mol of atoms): 19